Density functional theory data (PBE) for an optimized crystal structure of Ac2Zn6IrPd.

Cell lengths 6.853, 6.867, 9.692 Å; angles 90.00, 90.00, 90.00 degrees
Space group Immm (No. 71)
Symmetry-distinct sites (fractional):
Ac: 0.000 0.000 0.250 [4 per cell]
Zn: 0.000 0.500 0.250 [4 per cell]
Zn: 0.250 0.250 0.000 [8 per cell]
Ir: 0.000 0.500 0.000 [2 per cell]
Pd: 0.000 0.500 0.500 [2 per cell]



Density functional theory data (PBE) for an optimized crystal structure of AcZrIrPd.

Cell lengths 7.078, 7.078, 7.078 Å; angles 90.00, 90.00, 90.00 degrees
Space group F-43m (No. 216)
Symmetry-distinct sites (fractional):
Ac: 0.000 0.000 0.000 [4 per cell]
Zr: 0.000 0.000 0.500 [4 per cell]
Ir: 0.250 0.250 0.750 [4 per cell]
Pd: 0.250 0.250 0.250 [4 per cell]



Density functional theory data (PBE) for an optimized crystal structure of AcPm6Ir4.

Cell lengths 7.706, 7.706, 10.672 Å; angles 90.00, 90.00, 90.00 degrees
Space group I-42m (No. 121)
Symmetry-distinct sites (fractional):
Ac: 0.000 0.000 0.000 [2 per cell]
Pm: 0.000 0.500 0.000 [4 per cell]
Pm: 0.158 0.158 0.681 [8 per cell]
Ir: 0.215 0.215 0.415 [8 per cell]



Density functional theory data (PBE) for an optimized crystal structure of Ac3PmIr2.

Cell lengths 17.568, 4.491, 12.009 Å; angles 90.00, 118.31, 90.00 degrees
Space group C2/m (No. 12)
Symmetry-distinct sites (fractional):
Ac: 0.052 0.000 0.236 [4 per cell]
Ac: 0.165 0.500 0.016 [4 per cell]
Ac: 0.217 0.000 0.604 [4 per cell]
Pm: 0.074 0.500 0.660 [4 per cell]
Ir: 0.116 0.500 0.433 [4 per cell]
Ir: 0.138 0.000 0.831 [4 per cell]



Number 1: energy of formation from the pure elements -301 meV per atom. Number 2: energy of formation from the pure elements -413 meV per atom. Number 3: energy of formation from the pure elements -478 meV per atom. Number 4: energy of formation from the pure elements -571 meV per atom.